The following is a GGA+U calculation of crystalline MnBiNF2 at its relaxed geometry, from the Alexandria database.

Results
The density of states at the Fermi level is 0.304 states/eV per atom. The value obtained for the density is 7.44 g/cm³. The energy above the most stable polymorph in this dataset comes out at 0.00 eV/f.u. Its uncorrected energy is -5.5937 eV/atom.

Lattice parameters (Å, degrees): 4.045 4.045 4.308 90.00 90.00 90.00
Space group P4/mmm (No. 123)
Symmetry-distinct sites (fractional):
Mn 0.000 0.000 0.000 [1 per cell]
Bi 0.500 0.500 0.500 [1 per cell]
N 0.000 0.000 0.500 [1 per cell]
F 0.000 0.500 0.000 [2 per cell]